1.
# VZnRh | Alexandria | GGA-PBE | optimized geometry
data_VZnRh
_symmetry_space_group_name_H-M 'P 1'
_symmetry_Int_Tables_number 1
_symmetry_space_group_name_Hall 'P 1'
_cell_length_a 4.230
_cell_length_b 4.230
_cell_length_c 2.703
_cell_angle_alpha 90.00
_cell_angle_beta 90.00
_cell_angle_gamma 120.00
loop_
_atom_site_label
_atom_site_type_symbol
_atom_site_fract_x
_atom_site_fract_y
_atom_site_fract_z
V1 V 0.000 0.000 0.000
Zn1 Zn 0.667 0.333 0.411
Rh1 Rh 0.333 0.667 0.806
# E_form, meV per atom: -216
# Calculated volume, Å³ per atom: 13.96
# DOS at the Fermi energy, states/eV per cell: 2.67
# Mass density, g/cm³: 8.69

=====

2.
# PbS2Br | Alexandria | GGA-PBE | optimized geometry
data_PbS2Br
_symmetry_space_group_name_H-M 'P 1'
_symmetry_Int_Tables_number 1
_symmetry_space_group_name_Hall 'P 1'
_cell_length_a 9.223
_cell_length_b 9.223
_cell_length_c 9.223
_cell_angle_alpha 23.08
_cell_angle_beta 23.08
_cell_angle_gamma 23.08
loop_
_atom_site_label
_atom_site_type_symbol
_atom_site_fract_x
_atom_site_fract_y
_atom_site_fract_z
Pb1 Pb 0.000 0.000 0.000
S1 S 0.097 0.097 0.097
S2 S 0.903 0.903 0.903
Br1 Br 0.500 0.500 0.500
# Energy relative to the elements, uncorrected, meV per atom: 721
# Calculated volume, Å³ per atom: 26.46
# DOS at the Fermi energy, states/eV per cell: 3.73
# Mass density, g/cm³: 5.51
# Excess energy over the best structure of this formula in the dataset, meV per atom: 1089.1

=====

3.
# TiH3Au | Alexandria | GGA-PBE | optimized geometry
data_TiH3Au
_symmetry_space_group_name_H-M 'P 1'
_symmetry_Int_Tables_number 1
_symmetry_space_group_name_Hall 'P 1'
_cell_length_a 3.572
_cell_length_b 3.572
_cell_length_c 3.572
_cell_angle_alpha 90.00
_cell_angle_beta 90.00
_cell_angle_gamma 90.00
loop_
_atom_site_label
_atom_site_type_symbol
_atom_site_fract_x
_atom_site_fract_y
_atom_site_fract_z
Ti1 Ti 0.000 0.000 0.000
H1 H 0.000 0.000 0.500
H2 H 0.000 0.500 0.000
H3 H 0.500 0.000 0.000
Au1 Au 0.500 0.500 0.500
# Calculated volume, Å³ per atom: 9.11
# DOS at the Fermi energy, states/eV per cell: 1.52
# Mass density, g/cm³: 9.03
# Excess energy over the best structure of this formula in the dataset, meV per atom: 0.0

=====

4.
# KSb2TeW | Alexandria | GGA-PBE | optimized geometry
data_KSb2TeW
_symmetry_space_group_name_H-M 'P 1'
_symmetry_Int_Tables_number 1
_symmetry_space_group_name_Hall 'P 1'
_cell_length_a 5.523
_cell_length_b 5.523
_cell_length_c 5.651
_cell_angle_alpha 90.00
_cell_angle_beta 90.00
_cell_angle_gamma 90.00
loop_
_atom_site_label
_atom_site_type_symbol
_atom_site_fract_x
_atom_site_fract_y
_atom_site_fract_z
K1 K 0.000 0.000 0.000
Sb1 Sb 0.000 0.500 0.000
Sb2 Sb 0.500 0.000 0.000
Te1 Te 0.000 0.000 0.500
W1 W 0.500 0.500 0.500
# Energy relative to the elements, uncorrected, meV per atom: 2438
# Calculated volume, Å³ per atom: 34.48
# DOS at the Fermi energy, states/eV per cell: 8.51
# Mass density, g/cm³: 5.72
# Excess energy over the best structure of this formula in the dataset, meV per atom: 2194.1